VASP calculation (PBE-GGA) on a geometry-optimized VCd2Ag2 structure.

Summary:
Total magnetization = 3.5 μB/f.u.
Relative energy among the computed polymorphs = 20.4 meV per atom
SG = P4/mbm
DFT total energy = -2.99 eV/atom
Formation energy = 0.34 eV per atom

Cell: 7.982 7.982 3.111 Å, 90.00 90.00 90.00°
Positions (direct):
V (0.000, 0.000, 0.000)
V (0.500, 0.500, 0.000)
Cd (0.132, 0.368, 0.000)
Cd (0.368, 0.868, 0.000)
Cd (0.632, 0.132, 0.000)
Cd (0.868, 0.632, 0.000)
Ag (0.168, 0.668, 0.500)
Ag (0.332, 0.168, 0.500)
Ag (0.668, 0.832, 0.500)
Ag (0.832, 0.332, 0.500)